[1]
KCaCd2 (GGA-PBEsol, optimized geometry); symmetry = No. 225; energy of formation = -0.029 eV/atom; distance to the lowest polymorph of the same formula = 0 meV per atom; total magnetization = 0.00 Bohr magnetons per cell; crystal system = cubic; final energy = -1.44 eV per atom
1.0
0.0000 3.9242 3.9242
3.9242 0.0000 3.9242
3.9242 3.9242 0.0000
K Ca Cd
1 1 2
direct
0.0000 0.0000 0.0000 K
0.5000 0.5000 0.5000 Ca
0.2500 0.2500 0.2500 Cd
0.7500 0.7500 0.7500 Cd

***

[2]
Na2Cu2Hg (GGA-PBEsol, optimized geometry); symmetry = No. 139; energy of formation = 0.454 eV/atom; total magnetization = 0.00 Bohr magnetons per cell; crystal system = tetragonal; final energy = -1.95 eV per atom
1.0
-1.9786 1.9786 6.3653
1.9786 -1.9786 6.3653
1.9786 1.9786 -6.3653
Na Cu Hg
2 2 1
direct
0.2500 0.7500 0.5000 Na
0.7500 0.2500 0.5000 Na
0.0886 0.0886 0.0000 Cu
0.9114 0.9114 0.0000 Cu
0.5000 0.5000 0.0000 Hg

***

[3]
TiMoCl3 (GGA-PBEsol, optimized geometry); symmetry = No. 221; formation energy (no corrections) = 0.0092 eV/atom; total magnetization = 7.00 Bohr magnetons per cell; crystal system = cubic; final energy = -5.21 eV per atom
1.0
4.8244 0.0000 0.0000
0.0000 4.8244 0.0000
0.0000 0.0000 4.8244
Ti Mo Cl
1 1 3
direct
0.0000 0.0000 0.0000 Ti
0.5000 0.5000 0.5000 Mo
0.0000 0.0000 0.5000 Cl
0.0000 0.5000 0.0000 Cl
0.5000 0.0000 0.0000 Cl

***

[4]
LaAg4W (GGA-PBEsol, optimized geometry); symmetry = No. 216; energy of formation = 0.486 eV/atom; total magnetization = 3.09 Bohr magnetons per cell; crystal system = cubic; final energy = -4.91 eV per atom
1.0
0.0000 3.8748 3.8748
3.8748 0.0000 3.8748
3.8748 3.8748 0.0000
La Ag W
1 4 1
direct
0.0000 0.0000 0.0000 La
0.3757 0.3757 0.3757 Ag
0.3757 0.3757 0.8728 Ag
0.3757 0.8728 0.3757 Ag
0.8728 0.3757 0.3757 Ag
0.7500 0.7500 0.7500 W

***

[5]
TcRuAu3 (GGA-PBEsol, optimized geometry); symmetry = No. 221; energy of formation = 1.889 eV/atom; distance to the lowest polymorph of the same formula = 0 meV per atom; total magnetization = 6.10 Bohr magnetons per cell; crystal system = cubic; final energy = -4.75 eV per atom
1.0
4.8618 0.0000 0.0000
0.0000 4.8618 0.0000
0.0000 0.0000 4.8618
Tc Ru Au
1 1 3
direct
0.0000 0.0000 0.0000 Tc
0.5000 0.5000 0.5000 Ru
0.0000 0.5000 0.5000 Au
0.5000 0.0000 0.5000 Au
0.5000 0.5000 0.0000 Au

***

[6]
VFe (GGA-PBEsol, optimized geometry); symmetry = No. 221; energy of formation = -0.146 eV/atom; total magnetization = 0.76 Bohr magnetons per cell; crystal system = cubic; final energy = -9.44 eV per atom
1.0
2.8335 0.0000 0.0000
0.0000 2.8335 0.0000
0.0000 0.0000 2.8335
V Fe
1 1
direct
0.0000 0.0000 0.0000 V
0.5000 0.5000 0.5000 Fe

***

[7]
AgPb2 (GGA-PBEsol, optimized geometry); symmetry = No. 62; energy of formation = 0.069 eV/atom; total magnetization = 0.00 Bohr magnetons per cell; crystal system = orthorhombic; final energy = -3.70 eV per atom
1.0
7.3160 0.0000 0.0000
0.0000 4.6078 0.0000
0.0000 0.0000 8.9732
Ag Pb
4 8
direct
0.2405 0.2500 0.1257 Ag
0.2595 0.7500 0.6257 Ag
0.7405 0.2500 0.3743 Ag
0.7595 0.7500 0.8743 Ag
0.0306 0.2500 0.8310 Pb
0.1468 0.2500 0.4381 Pb
0.3532 0.7500 0.9381 Pb
0.4694 0.7500 0.3310 Pb
0.5306 0.2500 0.6690 Pb
0.6468 0.2500 0.0619 Pb
0.8532 0.7500 0.5619 Pb
0.9694 0.7500 0.1690 Pb

***

[8]
KMnSi2 (GGA-PBEsol, optimized geometry); symmetry = No. 123; formation energy (no corrections) = 0.0202 eV/atom; distance to the lowest polymorph of the same formula = 0 meV per atom; total magnetization = 0.02 Bohr magnetons per cell; crystal system = tetragonal; final energy = -5.58 eV per atom
1.0
2.9237 0.0000 0.0000
0.0000 2.9237 0.0000
0.0000 0.0000 7.7370
K Mn Si
1 1 2
direct
0.0000 0.0000 0.0000 K
0.0000 0.0000 0.5000 Mn
0.5000 0.5000 0.3363 Si
0.5000 0.5000 0.6637 Si

***

[9]
In4Hg (GGA-PBEsol, optimized geometry); symmetry = No. 139; energy of formation = 0.086 eV/atom; distance to the lowest polymorph of the same formula = 91 meV per atom; total magnetization = 0.00 Bohr magnetons per cell; crystal system = tetragonal; final energy = -2.41 eV per atom
1.0
-2.1148 2.1148 7.4620
2.1148 -2.1148 7.4620
2.1148 2.1148 -7.4620
In Hg
4 1
direct
0.0971 0.0971 0.0000 In
0.2500 0.7500 0.5000 In
0.7500 0.2500 0.5000 In
0.9029 0.9029 0.0000 In
0.5000 0.5000 0.0000 Hg

***

[10]
BeSb2Ir (GGA-PBEsol, optimized geometry); symmetry = No. 216; formation energy (no corrections) = 0.6398 eV/atom; total magnetization = 0.00 Bohr magnetons per cell; crystal system = cubic; final energy = -5.09 eV per atom
1.0
0.0000 3.3062 3.3062
3.3062 0.0000 3.3062
3.3062 3.3062 0.0000
Be Sb Ir
1 2 1
direct
0.0000 0.0000 0.0000 Be
0.2500 0.2500 0.2500 Sb
0.5000 0.5000 0.5000 Sb
0.7500 0.7500 0.7500 Ir

***

[11]
CuSiAg2 (GGA-PBEsol, optimized geometry); symmetry = No. 160; formation energy (no corrections) = 0.0886 eV/atom; total magnetization = 0.00 Bohr magnetons per cell; crystal system = trigonal; final energy = -4.09 eV per atom
1.0
1.4076 0.8127 8.5748
-1.4076 0.8127 8.5748
0.0000 -1.6254 8.5748
Cu Si Ag
1 1 2
direct
0.0000 0.0000 0.0000 Cu
0.7374 0.7374 0.7374 Si
0.2493 0.2493 0.2493 Ag
0.4893 0.4893 0.4893 Ag

***

[12]
Sr2CdHg (GGA-PBEsol, optimized geometry); symmetry = No. 12; energy of formation = -0.273 eV/atom; total magnetization = 0.00 Bohr magnetons per cell; crystal system = monoclinic; final energy = -1.63 eV per atom
1.0
3.9617 -2.2751 0.0000
3.9617 2.2751 0.0000
-2.6094 0.0000 7.9949
Sr Cd Hg
2 1 1
direct
0.2474 0.2474 0.2427 Sr
0.7526 0.7526 0.7573 Sr
0.0000 0.0000 0.5000 Cd
0.5000 0.5000 0.0000 Hg

***

[13]
Sr2ZrCu (GGA-PBEsol, optimized geometry); symmetry = No. 65; energy of formation = 0.608 eV/atom; distance to the lowest polymorph of the same formula = 250 meV per atom; total magnetization = 0.20 Bohr magnetons per cell; crystal system = orthorhombic; final energy = -3.67 eV per atom
1.0
3.5117 -4.5100 0.0000
3.5117 4.5100 0.0000
0.0000 0.0000 3.5257
Sr Zr Cu
2 1 1
direct
0.0000 0.5000 0.0000 Sr
0.5000 0.0000 0.0000 Sr
0.0000 0.0000 0.5000 Zr
0.5000 0.5000 0.5000 Cu

***

[14]
Fe3RePt (GGA-PBEsol, optimized geometry); symmetry = No. 221; energy of formation = 1.611 eV/atom; total magnetization = 4.83 Bohr magnetons per cell; crystal system = cubic; final energy = -7.83 eV per atom
1.0
4.3441 0.0000 0.0000
0.0000 4.3441 0.0000
0.0000 0.0000 4.3441
Fe Re Pt
3 1 1
direct
0.0000 0.0000 0.5000 Fe
0.0000 0.5000 0.0000 Fe
0.5000 0.0000 0.0000 Fe
0.0000 0.0000 0.0000 Re
0.5000 0.5000 0.5000 Pt

***

[15]
Ba4Ga2O7 (GGA-PBEsol, optimized geometry); symmetry = No. 14; formation energy (no corrections) = -2.4170 eV/atom; total magnetization = 0.00 Bohr magnetons per cell; crystal system = monoclinic; final energy = -6.42 eV per atom
1.0
17.7135 0.0000 0.0000
0.0000 10.7048 0.0000
-1.0710 0.0000 7.2268
Ba Ga O
24 12 42
direct
0.0821 0.1045 0.3424 Ba
0.0821 0.3955 0.8424 Ba
0.0929 0.7320 0.4562 Ba
0.0929 0.7680 0.9562 Ba
0.2489 0.5515 0.1977 Ba
0.2489 0.9485 0.6977 Ba
0.2570 0.2125 0.0376 Ba
0.2570 0.2875 0.5376 Ba
0.4096 0.7103 0.5000 Ba
0.4096 0.7897 0.0000 Ba
0.4123 0.0741 0.3417 Ba
0.4123 0.4259 0.8417 Ba
0.5877 0.5741 0.1583 Ba
0.5877 0.9259 0.6583 Ba
0.5904 0.2103 0.0000 Ba
0.5904 0.2897 0.5000 Ba
0.7430 0.7125 0.4624 Ba
0.7430 0.7875 0.9624 Ba
0.7511 0.0515 0.3023 Ba
0.7511 0.4485 0.8023 Ba
0.9071 0.2320 0.0438 Ba
0.9071 0.2680 0.5438 Ba
0.9179 0.6045 0.1576 Ba
0.9179 0.8955 0.6576 Ba
0.0906 0.0725 0.8125 Ga
0.0906 0.4275 0.3125 Ga
0.2328 0.5590 0.6953 Ga
0.2328 0.9410 0.1953 Ga
0.4339 0.0689 0.7950 Ga
0.4339 0.4311 0.2950 Ga
0.5661 0.5689 0.7050 Ga
0.5661 0.9311 0.2050 Ga
0.7672 0.0590 0.8047 Ga
0.7672 0.4410 0.3047 Ga
0.9094 0.5725 0.6875 Ga
0.9094 0.9275 0.1875 Ga
0.0083 0.1707 0.8362 O
0.0083 0.3293 0.3362 O
0.0735 0.5641 0.1544 O
0.0735 0.9359 0.6544 O
0.1425 0.0080 0.0413 O
0.1425 0.4920 0.5413 O
0.1605 0.1710 0.7121 O
0.1605 0.3290 0.2121 O
0.2093 0.7145 0.7704 O
0.2093 0.7855 0.2704 O
0.2493 0.0638 0.3764 O
0.2493 0.4362 0.8764 O
0.3127 0.5384 0.5627 O
0.3127 0.9616 0.0627 O
0.3603 0.1857 0.8117 O
0.3603 0.3143 0.3117 O
0.3967 0.5740 0.1664 O
0.3967 0.9260 0.6664 O
0.4918 0.6429 0.8263 O
0.4918 0.8571 0.3263 O
0.5000 0.0000 0.0000 O
0.5000 0.5000 0.5000 O
0.5082 0.1429 0.6737 O
0.5082 0.3571 0.1737 O
0.6033 0.0740 0.3336 O
0.6033 0.4260 0.8336 O
0.6397 0.6857 0.6883 O
0.6397 0.8143 0.1883 O
0.6873 0.0384 0.9373 O
0.6873 0.4616 0.4373 O
0.7507 0.5638 0.1236 O
0.7507 0.9362 0.6236 O
0.7907 0.2145 0.7296 O
0.7907 0.2855 0.2296 O
0.8395 0.6710 0.7879 O
0.8395 0.8290 0.2879 O
0.8575 0.5080 0.4587 O
0.8575 0.9920 0.9587 O
0.9265 0.0641 0.3456 O
0.9265 0.4359 0.8456 O
0.9917 0.6707 0.6638 O
0.9917 0.8293 0.1638 O

***

[16]
NbFe3H (GGA-PBEsol, optimized geometry); symmetry = No. 221; total magnetization = 1.74 Bohr magnetons per cell; crystal system = cubic; final energy = -8.27 eV per atom
1.0
3.6542 0.0000 0.0000
0.0000 3.6542 0.0000
0.0000 0.0000 3.6542
Nb Fe H
1 3 1
direct
0.0000 0.0000 0.0000 Nb
0.0000 0.5000 0.5000 Fe
0.5000 0.0000 0.5000 Fe
0.5000 0.5000 0.0000 Fe
0.5000 0.5000 0.5000 H

***

[17]
ZnHgAs2 (GGA-PBEsol, optimized geometry); symmetry = No. 139; energy of formation = 0.294 eV/atom; distance to the lowest polymorph of the same formula = 216 meV per atom; total magnetization = 0.00 Bohr magnetons per cell; crystal system = tetragonal; final energy = -2.80 eV per atom
1.0
-1.9235 1.9235 5.2425
1.9235 -1.9235 5.2425
1.9235 1.9235 -5.2425
Zn Hg As
1 1 2
direct
0.0000 0.0000 0.0000 Zn
0.5000 0.5000 0.0000 Hg
0.2500 0.7500 0.5000 As
0.7500 0.2500 0.5000 As

***

[18]
CaRhW (GGA-PBEsol, optimized geometry); symmetry = No. 156; energy of formation = 0.566 eV/atom; total magnetization = 0.00 Bohr magnetons per cell; crystal system = trigonal; final energy = -7.46 eV per atom
1.0
4.5732 0.0000 0.0000
-2.2866 3.9605 0.0000
0.0000 0.0000 2.8903
Ca Rh W
1 1 1
direct
0.0000 0.0000 0.0000 Ca
0.3333 0.6667 0.5910 Rh
0.6667 0.3333 0.4148 W

***

[19]
SrLa2Ni (GGA-PBEsol, optimized geometry); symmetry = No. 123; energy of formation = 0.356 eV/atom; distance to the lowest polymorph of the same formula = 414 meV per atom; total magnetization = 0.00 Bohr magnetons per cell; crystal system = tetragonal; final energy = -4.32 eV per atom
1.0
5.1595 0.0000 0.0000
0.0000 5.1595 0.0000
0.0000 0.0000 4.2432
Sr La Ni
1 2 1
direct
0.0000 0.0000 0.0000 Sr
0.0000 0.5000 0.5000 La
0.5000 0.0000 0.5000 La
0.5000 0.5000 0.0000 Ni

***

[20]
YAgSb2 (GGA-PBEsol, optimized geometry); symmetry = No. 129; formation energy (no corrections) = -0.6775 eV/atom; total magnetization = 0.00 Bohr magnetons per cell; crystal system = tetragonal; final energy = -5.49 eV per atom
1.0
4.2907 0.0000 0.0000
0.0000 4.2907 0.0000
0.0000 0.0000 10.1830
Y Ag Sb
2 2 4
direct
0.2500 0.2500 0.2379 Y
0.7500 0.7500 0.7621 Y
0.2500 0.7500 0.5000 Ag
0.7500 0.2500 0.5000 Ag
0.2500 0.2500 0.6839 Sb
0.2500 0.7500 0.0000 Sb
0.7500 0.2500 0.0000 Sb
0.7500 0.7500 0.3161 Sb

***

[21]
Li4Cr5Co3O16 (GGA-PBEsol, optimized geometry); symmetry = No. 8; formation energy (no corrections) = -1.7498 eV/atom; total magnetization = 10.99 Bohr magnetons per cell; crystal system = monoclinic; final energy = -7.69 eV per atom
1.0
4.8443 -2.8269 0.0000
4.8443 2.8269 0.0000
-0.0391 0.0000 9.1652
Li Cr Co O
4 5 3 16
direct
0.0000 0.0000 0.0000 Li
0.0019 0.0019 0.4974 Li
0.3277 0.3277 0.3891 Li
0.6607 0.6607 0.8964 Li
0.1672 0.6503 0.7147 Cr
0.3272 0.3272 0.9960 Cr
0.6503 0.1672 0.7147 Cr
0.6600 0.6600 0.4904 Cr
0.8215 0.8215 0.2146 Cr
0.1681 0.1681 0.7147 Co
0.3371 0.8267 0.2141 Co
0.8267 0.3371 0.2141 Co
0.0364 0.4723 0.8447 O
0.1607 0.6615 0.1045 O
0.1641 0.1641 0.1064 O
0.3285 0.3285 0.5996 O
0.3307 0.8269 0.6047 O
0.4723 0.0364 0.8447 O
0.4738 0.4738 0.8450 O
0.5153 0.9529 0.3443 O
0.5168 0.5168 0.3370 O
0.6582 0.6582 0.1043 O
0.6615 0.1607 0.1045 O
0.8269 0.3307 0.6047 O
0.8278 0.8278 0.6044 O
0.9529 0.5153 0.3443 O
0.9976 0.9976 0.3072 O
0.9976 0.9976 0.8086 O

***

[22]
Be2FeAs (GGA-PBEsol, optimized geometry); symmetry = No. 123; energy of formation = 0.027 eV/atom; distance to the lowest polymorph of the same formula = 46 meV per atom; total magnetization = 0.50 Bohr magnetons per cell; crystal system = tetragonal; final energy = -5.49 eV per atom
1.0
3.4826 0.0000 0.0000
0.0000 3.4826 0.0000
0.0000 0.0000 3.3035
Be Fe As
2 1 1
direct
0.0000 0.5000 0.0000 Be
0.5000 0.0000 0.0000 Be
0.0000 0.0000 0.5000 Fe
0.5000 0.5000 0.5000 As

***

[23]
LiZn2Ni2 (GGA-PBEsol, optimized geometry); symmetry = No. 139; energy of formation = 0.116 eV/atom; distance to the lowest polymorph of the same formula = 296 meV per atom; total magnetization = 0.00 Bohr magnetons per cell; crystal system = tetragonal; final energy = -3.37 eV per atom
1.0
-1.8596 1.8596 5.1596
1.8596 -1.8596 5.1596
1.8596 1.8596 -5.1596
Li Zn Ni
1 2 2
direct
0.0000 0.0000 0.0000 Li
0.2500 0.7500 0.5000 Zn
0.7500 0.2500 0.5000 Zn
0.3932 0.3932 0.0000 Ni
0.6068 0.6068 0.0000 Ni

***

[24]
MgCuAu2 (GGA-PBEsol, optimized geometry); symmetry = No. 216; energy of formation = -0.259 eV/atom; total magnetization = 0.00 Bohr magnetons per cell; crystal system = cubic; final energy = -3.73 eV per atom
1.0
0.0000 3.1588 3.1588
3.1588 0.0000 3.1588
3.1588 3.1588 0.0000
Mg Cu Au
1 1 2
direct
0.0000 0.0000 0.0000 Mg
0.2500 0.2500 0.2500 Cu
0.5000 0.5000 0.5000 Au
0.7500 0.7500 0.7500 Au